Record 1
# Zr2NiHOs

A relaxed structure of Zr2NiHOs (PBE-GGA, the Alexandria database).

Structure (extended XYZ):
```
5
Lattice="4.499 0.000 0.000 0.000 4.499 0.000 0.000 0.000 3.592" Properties=species:S:1:pos:R:3 pbc="T T T"
Zr 0.000 2.250 0.000
Zr 2.250 0.000 0.000
Ni 0.000 0.000 1.796
H 2.250 2.250 0.000
Os 2.250 2.250 1.796
```

Results
electronic total energy	-0.572	Ry per atom
total moment	0.0	Bohr magnetons per cell
energy above the most stable polymorph in this dataset	0.67	eV/f.u.
symmetry	P4/mmm (123)

Record 2
# Ni2PH2

A relaxed structure of Ni2PH2 (PBE-GGA, the Alexandria database).

Structure (extended XYZ):
```
10
Lattice="2.816 0.000 0.000 0.000 2.816 0.000 0.000 0.000 10.209" Properties=species:S:1:pos:R:3 pbc="T T T"
Ni 0.000 0.000 1.507
Ni 0.000 0.000 8.702
Ni 1.408 1.408 3.598
Ni 1.408 1.408 6.611
P 0.000 0.000 5.104
P 1.408 1.408 0.000
H 0.000 1.408 2.552
H 0.000 1.408 7.656
H 1.408 0.000 2.552
H 1.408 0.000 7.656
```

Results
electronic total energy	-0.347	Ry per atom
total moment	0.0	Bohr magnetons per cell
symmetry	I4/mmm (139)

Record 3
# NiP3H

A relaxed structure of NiP3H (PBE-GGA, the Alexandria database).

Structure (extended XYZ):
```
5
Lattice="3.861 0.000 0.000 0.000 3.861 0.000 0.000 0.000 3.861" Properties=species:S:1:pos:R:3 pbc="T T T"
Ni 0.000 0.000 0.000
P 0.000 1.931 1.931
P 1.931 0.000 1.931
P 1.931 1.931 0.000
H 1.931 1.931 1.931
```

Results
electronic total energy	-0.318	Ry per atom
total moment	0.0	Bohr magnetons per cell
energy above the most stable polymorph in this dataset	3.07	eV/f.u.
symmetry	Pm-3m (221)

Record 4
# NiPH

A relaxed structure of NiPH (PBE-GGA, the Alexandria database).

Structure (extended XYZ):
```
6
Lattice="3.651 0.000 0.000 0.000 3.651 0.000 0.000 0.000 5.805" Properties=species:S:1:pos:R:3 pbc="T T T"
Ni 0.913 2.738 0.000
Ni 2.738 0.913 0.000
P 0.913 0.913 1.261
P 2.738 2.738 4.544
H 0.913 0.913 2.694
H 2.738 2.738 3.111
```

Results
electronic total energy	-0.367	Ry per atom
total moment	0.0	Bohr magnetons per cell
energy above the most stable polymorph in this dataset	0.00	eV/f.u.
symmetry	P4/nmm (129)

Record 5
# NiP3H

A relaxed structure of NiP3H (PBE-GGA, the Alexandria database).

Structure (extended XYZ):
```
5
Lattice="4.372 0.000 0.000 0.000 4.372 0.000 0.000 0.000 4.372" Properties=species:S:1:pos:R:3 pbc="T T T"
Ni 0.000 0.000 0.000
P 0.000 0.000 2.186
P 0.000 2.186 0.000
P 2.186 0.000 0.000
H 2.186 2.186 2.186
```

Results
electronic total energy	-0.292	Ry per atom
total moment	0.0	Bohr magnetons per cell
energy above the most stable polymorph in this dataset	4.80	eV/f.u.
symmetry	Pm-3m (221)

Record 6
# Ni2PH

A relaxed structure of Ni2PH (PBE-GGA, the Alexandria database).

Structure (extended XYZ):
```
12
Lattice="2.703 0.000 0.000 -1.352 2.341 0.000 0.000 0.000 17.604" Properties=species:S:1:pos:R:3 pbc="T T T"
Ni 0.000 0.000 0.000
Ni 0.000 0.000 2.492
Ni 0.000 1.561 11.736
Ni 0.000 1.561 14.228
Ni 1.352 0.780 5.868
Ni 1.352 0.780 8.360
P 0.000 0.000 10.075
P 0.000 1.561 4.207
P 1.352 0.780 15.943
H 0.000 0.000 13.186
H 0.000 1.561 7.318
H 1.352 0.780 1.450
```

Results
electronic total energy	-0.379	Ry per atom
total moment	0.0	Bohr magnetons per cell
energy above the most stable polymorph in this dataset	0.20	eV/f.u.
symmetry	R3m (160)

Record 7
# Ni2PH

A relaxed structure of Ni2PH (PBE-GGA, the Alexandria database).

Structure (extended XYZ):
```
16
Lattice="5.326 0.000 0.000 0.000 5.326 0.000 0.000 0.000 5.326" Properties=species:S:1:pos:R:3 pbc="T T T"
Ni 1.331 1.331 1.331
Ni 1.331 1.331 3.994
Ni 1.331 3.994 1.331
Ni 1.331 3.994 3.994
Ni 3.994 1.331 1.331
Ni 3.994 1.331 3.994
Ni 3.994 3.994 1.331
Ni 3.994 3.994 3.994
P 0.000 0.000 0.000
P 0.000 2.663 2.663
P 2.663 0.000 2.663
P 2.663 2.663 0.000
H 0.000 0.000 2.663
H 0.000 2.663 0.000
H 2.663 0.000 0.000
H 2.663 2.663 2.663
```

Results
electronic total energy	-0.369	Ry per atom
total moment	0.0	Bohr magnetons per cell
energy above the most stable polymorph in this dataset	0.72	eV/f.u.
symmetry	Fm-3m (225)

Record 8
# Ni2PH

A relaxed structure of Ni2PH (PBE-GGA, the Alexandria database).

Structure (extended XYZ):
```
16
Lattice="4.485 0.000 0.000 0.000 4.485 0.000 0.000 0.000 8.333" Properties=species:S:1:pos:R:3 pbc="T T T"
Ni 0.690 1.121 1.042
Ni 1.121 2.932 3.125
Ni 1.121 3.795 7.291
Ni 1.552 1.121 5.208
Ni 2.932 3.363 5.208
Ni 3.363 0.690 7.291
Ni 3.363 1.552 3.125
Ni 3.795 3.363 1.042
P 0.000 0.000 4.166
P 0.000 2.242 6.250
P 2.242 0.000 2.083
P 2.242 2.242 0.000
H 0.000 0.000 0.000
H 0.000 2.242 2.083
H 2.242 0.000 6.250
H 2.242 2.242 4.166
```

Results
electronic total energy	-0.382	Ry per atom
total moment	0.0	Bohr magnetons per cell
energy above the most stable polymorph in this dataset	0.00	eV/f.u.
symmetry	I-42d (122)

Record 9
# NiPH

A relaxed structure of NiPH (PBE-GGA, the Alexandria database).

Structure (extended XYZ):
```
24
Lattice="4.809 0.000 0.000 0.000 10.344 0.000 0.000 0.000 4.835" Properties=species:S:1:pos:R:3 pbc="T T T"
Ni 0.699 1.750 0.473
Ni 0.699 3.422 2.891
Ni 1.706 6.922 0.473
Ni 1.706 8.594 2.891
Ni 3.103 1.750 1.944
Ni 3.103 3.422 4.362
Ni 4.110 6.922 1.944
Ni 4.110 8.594 4.362
P 0.183 0.102 3.524
P 0.183 5.070 1.107
P 2.221 5.274 3.524
P 2.221 10.242 1.107
P 2.588 0.102 3.728
P 2.588 5.070 1.311
P 4.626 5.274 3.728
P 4.626 10.242 1.311
H 0.870 7.596 1.797
H 0.870 7.920 4.214
H 1.534 2.424 1.797
H 1.534 2.748 4.214
H 3.275 7.596 0.621
H 3.275 7.920 3.038
H 3.938 2.424 0.621
H 3.938 2.748 3.038
```

Results
electronic total energy	-0.351	Ry per atom
total moment	0.0	Bohr magnetons per cell
energy above the most stable polymorph in this dataset	0.69	eV/f.u.
symmetry	Pbca (61)

Record 10
# Ni4PH

A relaxed structure of Ni4PH (PBE-GGA, the Alexandria database).

Structure (extended XYZ):
```
12
Lattice="3.249 -5.184 0.000 3.249 5.184 0.000 -3.037 0.000 3.557" Properties=species:S:1:pos:R:3 pbc="T T T"
Ni -0.284 3.043 3.061
Ni -0.350 0.479 2.426
Ni 1.168 -0.479 0.648
Ni 2.227 3.043 2.275
Ni 1.234 -3.043 1.282
Ni 2.294 0.479 2.910
Ni 3.812 -0.479 1.131
Ni 3.746 -3.043 0.496
P 2.490 1.317 0.889
P 0.972 -1.317 2.668
H 0.972 4.133 2.668
H 2.490 -4.133 0.889
```

Results
electronic total energy	-0.410	Ry per atom
total moment	0.0	Bohr magnetons per cell
energy above the most stable polymorph in this dataset	0.00	eV/f.u.
symmetry	C2/c (15)

Record 11
# Ni5PH2

A relaxed structure of Ni5PH2 (PBE-GGA, the Alexandria database).

Structure (extended XYZ):
```
32
Lattice="8.910 0.000 0.000 0.000 7.325 0.000 0.000 0.000 4.704" Properties=species:S:1:pos:R:3 pbc="T T T"
Ni 0.052 1.831 4.703
Ni 1.012 0.004 1.551
Ni 1.012 3.659 1.551
Ni 1.967 5.493 3.105
Ni 2.055 1.831 3.082
Ni 2.400 5.493 0.730
Ni 2.488 1.831 0.753
Ni 3.443 7.321 3.903
Ni 3.443 3.666 3.903
Ni 4.403 5.493 2.351
Ni 4.507 1.831 2.353
Ni 5.467 0.004 0.801
Ni 5.467 3.659 0.801
Ni 6.422 5.493 3.951
Ni 6.510 1.831 3.974
Ni 6.855 5.493 1.622
Ni 6.943 1.831 1.599
Ni 7.898 7.321 3.153
Ni 7.898 3.666 3.153
Ni 8.858 5.493 0.001
P 0.020 1.831 2.400
P 4.435 5.493 0.048
P 4.475 1.831 4.656
P 8.890 5.493 2.304
H 1.492 0.675 0.039
H 1.492 2.987 0.039
H 2.963 4.337 2.391
H 2.963 6.650 2.391
H 5.947 0.675 2.313
H 5.947 2.987 2.313
H 7.418 4.337 4.665
H 7.418 6.650 4.665
```

Results
electronic total energy	-0.384	Ry per atom
total moment	0.0	Bohr magnetons per cell
symmetry	Pnma (62)

Record 12
# Ni5PH

A relaxed structure of Ni5PH (PBE-GGA, the Alexandria database).

Structure (extended XYZ):
```
14
Lattice="4.066 -2.983 0.000 4.066 2.983 0.000 -2.064 0.000 6.013" Properties=species:S:1:pos:R:3 pbc="T T T"
Ni 2.518 2.537 4.510
Ni 0.478 0.732 3.860
Ni 3.222 1.248 0.214
Ni 1.510 -0.732 0.853
Ni 3.878 1.248 2.793
Ni 2.190 -1.248 3.220
Ni 4.557 0.732 5.160
Ni 2.845 -1.248 5.800
Ni 5.589 -0.732 2.153
Ni 3.550 -2.537 1.503
P 2.518 0.426 4.510
P 3.550 -0.426 1.503
H 0.000 0.000 0.000
H -1.032 0.000 3.007
```

Results
electronic total energy	-0.403	Ry per atom
total moment	0.0	Bohr magnetons per cell
symmetry	C2/c (15)

> Which formula does entry 11 have?

Ni5PH2